Material: Sc3AuO
Method: DFT, GGA-PBE
State: relaxed

Calculated values
Calculated volume (Å³/atom): 18.99
Space-group type: No. 62
DFT total energy (eV per atom): -6.89
Energy relative to the elements, uncorrected (eV per formula unit): -7.2

Cell: 4.908 12.102 6.393 Å, 90.00 90.00 90.00°
Fractional coordinates of all 20 atoms:
Sc 0.499 0.118 0.392
O 0.502 0.250 0.600
Sc 0.501 0.618 0.608
Au 0.000 0.000 0.500
O 0.998 0.750 0.100
Sc 0.002 0.750 0.423
Sc 0.001 0.882 0.892
Sc 0.999 0.118 0.108
Au 0.000 0.500 0.500
Sc 0.501 0.882 0.608
Sc 0.999 0.382 0.108
Sc 0.001 0.618 0.892
Sc 0.499 0.382 0.392
Au 0.500 0.000 0.000
O 0.002 0.250 0.900
Au 0.500 0.500 0.000
Sc 0.502 0.750 0.077
Sc 0.498 0.250 0.923
Sc 0.998 0.250 0.577
O 0.498 0.750 0.400